# 1
InSbPI2 | PBE-GGA | relaxed

abc: 5.878 5.878 5.952
angles: 90.00 90.00 90.00
Space group P4/mmm (No. 123)
Asymmetric unit:
In  0.000  0.000  0.000 x1
Sb  0.000  0.000  0.500 x1
P  0.500  0.500  0.500 x1
I  0.000  0.500  0.000 x2

Results
The calculation puts the energy relative to the lowest polymorph listed for this composition at 492 meV/atom.



# 2
InSbPI2 | PBE-GGA | relaxed

abc: 5.515 5.515 5.464
angles: 90.00 90.00 90.00
Space group P4/mmm (No. 123)
Asymmetric unit:
In  0.000  0.000  0.000 x1
Sb  0.500  0.500  0.000 x1
P  0.500  0.500  0.500 x1
I  0.000  0.500  0.500 x2

Results
The calculation puts the energy relative to the lowest polymorph listed for this composition at 0 meV/atom.



# 3
SrInPI2 | PBE-GGA | relaxed

abc: 6.005 6.005 5.058
angles: 90.00 90.00 90.00
Space group P4/mmm (No. 123)
Asymmetric unit:
Sr  0.000  0.000  0.000 x1
In  0.500  0.500  0.500 x1
P  0.500  0.500  0.000 x1
I  0.000  0.500  0.500 x2



# 4
VInP2I | PBE-GGA | relaxed

abc: 4.934 4.934 5.662
angles: 90.00 90.00 90.00
Space group P4/mmm (No. 123)
Asymmetric unit:
V  0.000  0.000  0.000 x1
In  0.000  0.000  0.500 x1
P  0.000  0.500  0.500 x2
I  0.500  0.500  0.000 x1



# 5
In2PWI | PBE-GGA | relaxed

abc: 5.323 5.323 5.278
angles: 90.00 90.00 90.00
Space group P4/mmm (No. 123)
Asymmetric unit:
In  0.000  0.500  0.000 x2
P  0.000  0.000  0.000 x1
W  0.500  0.500  0.500 x1
I  0.000  0.000  0.500 x1



# 6
YIn2PI | PBE-GGA | relaxed

abc: 6.142 6.142 5.737
angles: 90.00 90.00 90.00
Space group P4/mmm (No. 123)
Asymmetric unit:
Y  0.000  0.000  0.000 x1
In  0.000  0.500  0.000 x2
P  0.500  0.500  0.500 x1
I  0.000  0.000  0.500 x1



# 7
YInP2I | PBE-GGA | relaxed

abc: 5.198 5.198 5.580
angles: 90.00 90.00 90.00
Space group P4/mmm (No. 123)
Asymmetric unit:
Y  0.000  0.000  0.000 x1
In  0.500  0.500  0.000 x1
P  0.000  0.500  0.500 x2
I  0.500  0.500  0.500 x1



# 8
ZnIn2PI | PBE-GGA | relaxed

abc: 6.780 6.780 5.748
angles: 90.00 90.00 90.00
Space group P4/mmm (No. 123)
Asymmetric unit:
Zn  0.000  0.000  0.000 x1
In  0.000  0.500  0.500 x2
P  0.500  0.500  0.000 x1
I  0.500  0.500  0.500 x1



no.,magnetization (Bohr magnetons per cell),uncorrected formation energy (eV per atom)
1,1.228,0.7634
2,0.000,0.2713
3,0.154,-0.3214
4,0.648,1.4244
5,4.721,1.4571
6,1.137,0.6323
7,0.000,0.8168
8,0.672,0.8775